[1]
Density functional theory data (GGA-PBE) for a relaxed InCo2Ir crystal.

a = 3.841 Å, b = 3.841 Å, c = 7.717 Å
α = 90.00°, β = 90.00°, γ = 90.00°
Space group I-4m2 (No. 119)
Asymmetric unit:
In 0.000 0.000 0.000 [2 per cell]
Co 0.000 0.000 0.500 [2 per cell]
Co 0.000 0.500 0.250 [2 per cell]
Ir 0.000 0.500 0.750 [2 per cell]

## Properties
M_tot = 6.92 μB per cell
formation energy from the elements = 0.16 eV per atom

---

[2]
Density functional theory data (GGA-PBE) for a relaxed InCo2Ir crystal.

a = 2.8303 Å, b = 2.8303 Å, c = 25.2642 Å
α = 90.00°, β = 90.00°, γ = 120.00°
Space group R3m (No. 160, hexagonal axes)
Asymmetric unit:
In 0.0000 0.0000 0.0000 [3 per cell]
Co 0.0000 0.0000 0.4934 [3 per cell]
Co 0.0000 0.0000 0.7546 [3 per cell]
Ir 0.0000 0.0000 0.2400 [3 per cell]

## Properties
M_tot = 11.09 μB per cell
formation energy from the elements = 0.32 eV per atom

---

[3]
Density functional theory data (GGA-PBE) for a relaxed InCo2Ir crystal.

a = 2.764 Å, b = 3.574 Å, c = 5.718 Å
α = 90.00°, β = 90.00°, γ = 90.00°
Space group Pmmm (No. 47)
Asymmetric unit:
In 0.000 0.000 0.000 [1 per cell]
Co 0.500 0.500 0.281 [2 per cell]
Ir 0.000 0.000 0.500 [1 per cell]

## Properties
M_tot = 2.27 μB per cell
formation energy from the elements = 0.16 eV per atom

---

[4]
Density functional theory data (GGA-PBE) for a relaxed InCo2Ir2 crystal.

a = 7.318 Å, b = 7.318 Å, c = 2.783 Å
α = 90.00°, β = 90.00°, γ = 90.00°
Space group P4/mbm (No. 127)
Asymmetric unit:
In 0.000 0.000 0.000 [2 per cell]
Co 0.166 0.334 0.500 [4 per cell]
Ir 0.129 0.629 0.000 [4 per cell]

## Properties
excess energy over the best structure of this formula in the dataset = 0.00 kJ/mol of atoms
M_tot = 8.42 μB per cell
formation energy from the elements = 0.19 eV per atom

---

[5]
Density functional theory data (GGA-PBE) for a relaxed In2CoIr crystal.

a = 3.0277 Å, b = 3.0277 Å, c = 26.9461 Å
α = 90.00°, β = 90.00°, γ = 120.00°
Space group R3m (No. 160, hexagonal axes)
Asymmetric unit:
In 0.0000 0.0000 0.0000 [3 per cell]
In 0.0000 0.0000 0.2322 [3 per cell]
Co 0.0000 0.0000 0.4863 [3 per cell]
Ir 0.0000 0.0000 0.7501 [3 per cell]

## Properties
M_tot = 6.72 μB per cell
formation energy from the elements = 0.31 eV per atom

---

[6]
Density functional theory data (GGA-PBE) for a relaxed InCo2Ir2 crystal.

a = 3.503 Å, b = 3.503 Å, c = 12.338 Å
α = 90.00°, β = 90.00°, γ = 90.00°
Space group I4/mmm (No. 139)
Asymmetric unit:
In 0.000 0.000 0.000 [2 per cell]
Co 0.000 0.500 0.250 [4 per cell]
Ir 0.000 0.000 0.392 [4 per cell]

## Properties
excess energy over the best structure of this formula in the dataset = 12.55 kJ/mol of atoms
M_tot = 0.00 μB per cell
formation energy from the elements = 0.32 eV per atom

---

[7]
Density functional theory data (GGA-PBE) for a relaxed InCo2Ir2 crystal.

a = 7.225 Å, b = 7.225 Å, c = 2.797 Å
α = 90.00°, β = 90.00°, γ = 90.00°
Space group P4/mbm (No. 127)
Asymmetric unit:
In 0.000 0.000 0.000 [2 per cell]
Co 0.120 0.380 0.000 [4 per cell]
Ir 0.173 0.673 0.500 [4 per cell]

## Properties
excess energy over the best structure of this formula in the dataset = 0.71 kJ/mol of atoms
M_tot = 7.79 μB per cell
formation energy from the elements = 0.20 eV per atom

---

[8]
Density functional theory data (GGA-PBE) for a relaxed InCo2Ir crystal.

a = 3.820 Å, b = 3.820 Å, c = 17.957 Å
α = 90.00°, β = 90.00°, γ = 90.00°
Space group I-42d (No. 122)
Asymmetric unit:
In 0.000 0.000 0.000 [4 per cell]
Co 0.178 0.250 0.625 [8 per cell]
Ir 0.000 0.000 0.500 [4 per cell]

## Properties
M_tot = 15.13 μB per cell
formation energy from the elements = 0.54 eV per atom

---

Asked for calculated volume across the records above, the calculation gives 14.228; 14.605; 14.124; 14.904; 17.826; 15.139; 14.600; 16.376 Å³/atom in order.
Asked for total DFT energy (no corrections) across the records above, the calculation gives -6.30; -6.13; -6.30; -6.75; -5.05; -6.62; -6.74; -5.91 eV per atom in order.
Asked for D(E_F) across the records above, the calculation gives 14.24; 12.84; 5.55; 11.35; 8.20; 14.51; 19.76; 29.01 states/eV per cell in order.